# PBE with a Hubbard U AcCoCu2F8, optimized geometry
data_AcCoCu2F8
_symmetry_space_group_name_H-M 'P 1'
_symmetry_Int_Tables_number 1
_symmetry_space_group_name_Hall 'P 1'
_cell_length_a 5.988
_cell_length_b 5.988
_cell_length_c 6.836
_cell_angle_alpha 90.00
_cell_angle_beta 90.00
_cell_angle_gamma 120.00
loop_
_atom_site_label
_atom_site_fract_x
_atom_site_fract_y
_atom_site_fract_z
Ac1 0.000 0.000 0.000
Co1 0.000 0.000 0.500
Cu1 0.333 0.667 0.237
Cu2 0.667 0.333 0.763
F1 0.145 0.289 0.295
F2 0.145 0.855 0.295
F3 0.289 0.145 0.705
F4 0.333 0.667 0.956
F5 0.667 0.333 0.044
F6 0.711 0.855 0.295
F7 0.855 0.145 0.705
F8 0.855 0.711 0.705
# - E_tot: -59.63 eV for the cell shown
# - SG: P-3m1 (164)
# - Crystal system: trigonal
# - Mass density: 4.42 g/cm³